(1)
{
  "formula": "Tb6Pm3Sm2Sc",
  "functional": "GGA-PBE",
  "state": "relaxed",
  "lattice": [[6.183, 0.000, 0.003], [-3.090, 5.356, 0.003], [-1.035, -1.792, 11.658]],
  "species": ["Tb", "Tb", "Tb", "Tb", "Tb", "Tb", "Pm", "Pm", "Pm", "Sm", "Sm", "Sc"],
  "fractional_positions": [[0.918, 0.588, 0.754], [0.751, 0.751, 0.247], [0.082, 0.412, 0.246], [0.588, 0.918, 0.754], [0.249, 0.249, 0.753], [0.412, 0.082, 0.246], [0.167, 0.833, 0.500], [0.833, 0.167, 0.500], [0.500, 0.500, 0.500], [0.334, 0.666, 0.000], [0.666, 0.334, 0.000], [0.000, 0.000, 0.000]],
  "formation_enthalpy_0k_ev_per_atom": 0.025,
  "m_tot_mub_per_cell": 0.0
}

(2)
{
  "formula": "TbPmSmSc",
  "functional": "GGA-PBE",
  "state": "relaxed",
  "lattice": [[0.151, -3.744, 0.477], [-0.816, -0.743, -5.581], [6.248, -1.391, 2.171]],
  "species": ["Tb", "Pm", "Sm", "Sc"],
  "fractional_positions": [[0.200, 0.871, 0.741], [0.661, 0.412, 0.825], [0.407, 0.139, 0.277], [0.919, 0.643, 0.286]],
  "formation_enthalpy_0k_ev_per_atom": 0.103,
  "m_tot_mub_per_cell": 0.0
}

(3)
{
  "formula": "Tb3PmSmSc",
  "functional": "GGA-PBE",
  "state": "relaxed",
  "lattice": [[-2.416, 4.377, 0.140], [-1.700, -3.576, -6.853], [-7.860, -4.475, 4.284]],
  "species": ["Tb", "Tb", "Tb", "Tb", "Tb", "Tb", "Pm", "Pm", "Sm", "Sm", "Sc", "Sc"],
  "fractional_positions": [[0.668, 0.337, 0.499], [0.332, 0.663, 0.501], [0.332, 0.663, 0.999], [0.668, 0.337, 0.001], [0.170, 0.340, 0.750], [0.830, 0.660, 0.250], [0.498, 0.995, 0.750], [0.502, 0.005, 0.250], [0.000, 0.000, 0.500], [0.000, 0.000, 0.000], [0.832, 0.664, 0.750], [0.168, 0.336, 0.250]],
  "formation_enthalpy_0k_ev_per_atom": 0.037,
  "m_tot_mub_per_cell": 0.0
}

(4)
{
  "formula": "Tb5PmSm2Sc",
  "functional": "GGA-PBE",
  "state": "relaxed",
  "lattice": [[5.602, 0.000, 0.000], [-2.801, 9.924, 0.000], [0.000, 0.000, 10.449]],
  "species": ["Tb", "Tb", "Tb", "Tb", "Tb", "Tb", "Tb", "Tb", "Tb", "Tb", "Pm", "Pm", "Sm", "Sm", "Sm", "Sm", "Sc", "Sc"],
  "fractional_positions": [[0.374, 0.749, 0.019], [0.723, 0.447, 0.822], [0.482, 0.964, 0.740], [0.297, 0.594, 0.704], [0.982, 0.964, 0.518], [0.626, 0.251, 0.519], [0.277, 0.553, 0.322], [0.518, 0.036, 0.240], [0.703, 0.406, 0.204], [0.018, 0.036, 0.018], [0.588, 0.177, 0.957], [0.412, 0.823, 0.457], [0.888, 0.775, 0.815], [0.114, 0.229, 0.735], [0.112, 0.225, 0.315], [0.886, 0.771, 0.235], [0.804, 0.608, 0.514], [0.196, 0.392, 0.014]],
  "formation_enthalpy_0k_ev_per_atom": 0.160,
  "m_tot_mub_per_cell": 0.0
}

(5)
{
  "formula": "TbPm5Sm2Sc",
  "functional": "GGA-PBE",
  "state": "relaxed",
  "lattice": [[5.395, 0.000, 0.000], [-2.697, 11.001, 0.000], [0.000, 0.000, 10.192]],
  "species": ["Tb", "Tb", "Pm", "Pm", "Pm", "Pm", "Pm", "Pm", "Pm", "Pm", "Pm", "Pm", "Sm", "Sm", "Sm", "Sm", "Sc", "Sc"],
  "fractional_positions": [[0.602, 0.204, 0.008], [0.398, 0.796, 0.508], [0.373, 0.746, 0.008], [0.722, 0.444, 0.821], [0.500, 0.000, 0.758], [0.278, 0.557, 0.696], [0.001, 0.001, 0.508], [0.627, 0.254, 0.508], [0.278, 0.556, 0.321], [0.500, 0.000, 0.258], [0.722, 0.443, 0.196], [0.999, 0.999, 0.008], [0.884, 0.768, 0.760], [0.116, 0.233, 0.756], [0.116, 0.232, 0.260], [0.884, 0.767, 0.256], [0.786, 0.573, 0.508], [0.214, 0.427, 0.008]],
  "formation_enthalpy_0k_ev_per_atom": 0.122,
  "m_tot_mub_per_cell": 0.0
}

(6)
{
  "formula": "Pm2SmScTe4",
  "functional": "GGA-PBE",
  "state": "relaxed",
  "lattice": [[-1.071, -3.407, -2.475], [-0.165, -4.439, 6.182], [-6.968, 2.989, -1.100]],
  "species": ["Pm", "Pm", "Sm", "Sc", "Te", "Te", "Te", "Te"],
  "fractional_positions": [[0.500, 0.000, 0.500], [0.000, 0.500, 0.500], [0.500, 0.500, 0.000], [0.000, 0.000, 0.000], [0.500, 0.235, 0.233], [0.500, 0.765, 0.767], [0.000, 0.243, 0.759], [0.000, 0.757, 0.241]],
  "e_form_raw_ev_per_atom": -1.309,
  "m_tot_mub_per_cell": 0.0
}

(7)
{
  "formula": "Pm3SmSc2Te6",
  "functional": "GGA-PBE",
  "state": "relaxed",
  "lattice": [[-1.550, 3.782, 1.448], [-8.087, -3.433, 0.313], [4.365, -3.729, 7.921]],
  "species": ["Pm", "Pm", "Pm", "Sm", "Sc", "Sc", "Te", "Te", "Te", "Te", "Te", "Te"],
  "fractional_positions": [[0.500, 0.500, 0.000], [0.841, 0.171, 0.682], [0.159, 0.829, 0.318], [0.500, 0.000, 0.000], [0.835, 0.670, 0.670], [0.165, 0.330, 0.330], [0.330, 0.901, 0.660], [0.673, 0.570, 0.346], [0.670, 0.099, 0.340], [0.009, 0.253, 0.018], [0.991, 0.747, 0.982], [0.327, 0.430, 0.654]],
  "e_form_raw_ev_per_atom": -1.292,
  "m_tot_mub_per_cell": 0.0
}

(8)
{
  "formula": "PmSm3Sc2Te6",
  "functional": "GGA-PBE",
  "state": "relaxed",
  "lattice": [[-1.058, 0.827, 4.121], [-8.417, 0.791, -2.320], [1.380, -9.654, 0.012]],
  "species": ["Pm", "Sm", "Sm", "Sm", "Sc", "Sc", "Te", "Te", "Te", "Te", "Te", "Te"],
  "fractional_positions": [[0.500, 0.000, 0.000], [0.500, 0.500, 0.000], [0.842, 0.170, 0.683], [0.158, 0.830, 0.317], [0.835, 0.670, 0.671], [0.165, 0.330, 0.329], [0.329, 0.901, 0.658], [0.673, 0.572, 0.345], [0.671, 0.099, 0.342], [0.009, 0.256, 0.017], [0.991, 0.744, 0.983], [0.327, 0.428, 0.655]],
  "e_form_raw_ev_per_atom": -1.283,
  "m_tot_mub_per_cell": 0.0
}